Here is a geometry-optimized Dy2TmIn3PdPt2 structure from OQMD via LeMat-Bulk. Energies are from GGA-PBE.

Final energy, eV for the cell shown: -47.807
Space-group type: Amm2

```
Dy2TmIn3PdPt2
1.0
3.8031 0.0000 0.0000
0.0000 6.6635 3.8585
0.0000 -6.6635 3.8585
Dy Tm In Pd Pt
2 1 3 1 2
Cartesian
0.0000 -3.9356 3.8585
0.0000 3.9356 3.8585
0.0000 0.0000 2.9784
1.9016 0.0000 0.4325
1.9016 -1.7292 5.1290
1.9016 1.7292 5.1290
0.0000 0.0000 6.1299
1.9016 -2.2029 2.2849
1.9016 2.2029 2.2849
```